First-principles (PBE-GGA) data for an optimized crystal structure of SrLiAcAg, as listed in Alexandria via LeMat-Bulk.

Lattice parameters (Å, degrees): 5.646 5.646 5.646 60.00 60.00 60.00
Positions (direct):
Ac 0.000 0.000 0.000
Li 0.750 0.750 0.750
Sr 0.500 0.500 0.500
Ag 0.250 0.250 0.250

Output
Final energy, Ry per atom: -0.19993
Magnetization, μB/f.u.: 0.000

First-principles (PBE-GGA) data for an optimized crystal structure of Dy2TmGa, as listed in Alexandria via LeMat-Bulk.

Lattice parameters (Å, degrees): 5.291 5.291 5.291 60.00 60.00 60.00
Site moments in Bohr magnetons follow the coordinates.
Positions (direct):
Dy 0.750 0.750 0.750  0.12
Dy 0.250 0.250 0.250  0.12
Ga 0.500 0.500 0.500  0.00
Tm 0.000 0.000 0.000  0.14

Output
Final energy, Ry per atom: -0.31360
Magnetization, μB/f.u.: 0.468

First-principles (PBE-GGA) data for an optimized crystal structure of NaPb5S5, as listed in Alexandria via LeMat-Bulk.

Lattice parameters (Å, degrees): 5.954 7.194 8.219 106.52 90.00 114.45
Positions (direct):
S 0.179 0.359 0.833
S 0.821 0.641 0.167
S 0.163 0.325 0.330
S 0.500 0.000 0.000
S 0.837 0.675 0.670
Pb 0.334 0.668 0.164
Pb 0.666 0.332 0.836
Pb 0.000 0.000 0.500
Pb 0.340 0.680 0.665
Pb 0.660 0.320 0.335
Na 0.000 0.000 0.000

Output
Uncorrected formation energy, eV per atom: -0.52
Magnetization, μB/f.u.: 0.000

First-principles (PBE-GGA) data for an optimized crystal structure of CaCdN, as listed in Alexandria via LeMat-Bulk.

Lattice parameters (Å, degrees): 3.521 3.521 8.745 90.00 90.00 90.00
Positions (direct):
N 0.000 0.500 0.350
N 0.500 0.000 0.650
Cd 0.500 0.000 0.897
Cd 0.000 0.500 0.103
Ca 0.000 0.500 0.631
Ca 0.500 0.000 0.369

Output
Uncorrected formation energy, eV per atom: -0.42
Magnetization, μB/f.u.: 0.000

First-principles (PBE-GGA) data for an optimized crystal structure of CaErMgCd, as listed in Alexandria via LeMat-Bulk.

Lattice parameters (Å, degrees): 5.374 5.374 5.374 60.00 60.00 60.00
Positions (direct):
Cd 0.750 0.750 0.750
Er 0.500 0.500 0.500
Ca 0.000 0.000 0.000
Mg 0.250 0.250 0.250

Output
Final energy, Ry per atom: -0.18066
Magnetization, μB/f.u.: 0.000

What did the first record say?
First-principles (PBE-GGA) data for an optimized crystal structure of SrLiAcAg, as listed in Alexandria via LeMat-Bulk.

Lattice parameters (Å, degrees): 5.646 5.646 5.646 60.00 60.00 60.00
Positions (direct):
Ac 0.000 0.000 0.000
Li 0.750 0.750 0.750
Sr 0.500 0.500 0.500
Ag 0.250 0.250 0.250

Output
Final energy, Ry per atom: -0.19993
Magnetization, μB/f.u.: 0.000